Here is Ba2I2N after structural relaxation from Alexandria. Energies are from PBE.

abc: 6.760 8.160 8.777
angles: 117.70 112.65 90.00
Site moments in Bohr magnetons follow the coordinates.
Positions (direct):
I 0.646 0.999 0.291  0.03
I 0.854 0.708 0.709  0.03
I 0.354 0.001 0.709  0.03
I 0.146 0.292 0.291  0.03
Ba 0.903 0.217 0.807  0.02
Ba 0.403 0.590 0.807  0.02
Ba 0.597 0.410 0.193  0.02
Ba 0.097 0.783 0.193  0.02
N 0.750 0.500 0.000  0.59
N 0.250 0.500 0.000  0.59

The value obtained for the total energy is -4.125 eV/atom. As for the total magnetization: 2.000 Bohr magnetons per cell. The energy relative to the elements, uncorrected comes out at -1.071 eV per atom.

=====

Here is BaI2N after structural relaxation from Alexandria. Energies are from PBE.

abc: 6.291 6.291 8.853
angles: 69.19 69.19 90.00
Positions (direct):
I 0.375 0.496 0.750
I 0.246 0.625 0.250
I 0.504 0.125 0.250
I 0.875 0.754 0.750
N 0.250 0.750 0.500
N 0.500 0.500 0.000
Ba 0.750 0.250 0.500
Ba 0.000 0.000 0.000

The value obtained for the total energy is -3.036 eV/atom. As for the total magnetization: 0.000 Bohr magnetons per cell. The energy relative to the elements, uncorrected comes out at 0.301 eV per atom.

=====

Here is Ba4IN2 after structural relaxation from Alexandria. Energies are from PBE.

abc: 4.161 4.161 16.271
angles: 82.65 82.65 60.00
Positions (direct):
N 0.579 0.579 0.264
N 0.421 0.421 0.736
Ba 0.881 0.881 0.356
Ba 0.276 0.276 0.171
Ba 0.119 0.119 0.644
Ba 0.724 0.724 0.829
I 0.000 0.000 0.000

The value obtained for the total energy is -4.441 eV/atom. As for the total magnetization: 0.000 Bohr magnetons per cell. The energy relative to the elements, uncorrected comes out at -0.742 eV per atom.

=====

Here is Ba3I2N after structural relaxation from Alexandria. Energies are from PBE.

abc: 7.765 8.198 8.766
angles: 117.88 90.00 90.00
Site moments in Bohr magnetons follow the coordinates.
Positions (direct):
N 0.316 0.424 0.000  0.00
N 0.816 0.576 0.000  0.00
I 0.697 0.980 0.659  0.01
I 0.197 0.020 0.341  0.01
I 0.197 0.679 0.659  0.01
I 0.697 0.321 0.341  0.01
Ba 0.037 0.328 0.776  0.06
Ba 0.537 0.448 0.776  0.06
Ba 0.875 0.885 0.000  0.12
Ba 0.375 0.115 0.000  0.12
Ba 0.037 0.552 0.224  0.06
Ba 0.537 0.672 0.224  0.06

The value obtained for the total energy is -3.970 eV/atom. As for the total magnetization: 1.975 Bohr magnetons per cell. The energy relative to the elements, uncorrected comes out at -1.104 eV per atom.

=====

Here is Ba2IN after structural relaxation from Alexandria. Energies are from PBE.

abc: 4.221 8.583 7.318
angles: 90.00 90.00 90.00
Positions (direct):
I 0.000 0.066 0.500
I 0.500 0.934 0.000
Ba 0.500 0.326 0.766
Ba 0.000 0.674 0.734
Ba 0.000 0.674 0.266
Ba 0.500 0.326 0.234
N 0.000 0.452 0.000
N 0.500 0.548 0.500

The value obtained for the total energy is -4.353 eV/atom. As for the total magnetization: 0.000 Bohr magnetons per cell. The energy relative to the elements, uncorrected comes out at -0.923 eV per atom.

=====

Here is Ba5I5N2 after structural relaxation from Alexandria. Energies are from PBE.

abc: 4.569 8.599 12.415
angles: 99.19 90.00 105.41
Site moments in Bohr magnetons follow the coordinates.
Positions (direct):
I 0.340 0.681 0.918  0.00
I 0.500 0.000 0.500  0.00
I 0.660 0.319 0.082  0.00
I 0.778 0.556 0.377  0.00
I 0.222 0.444 0.623  0.00
N 0.028 0.056 0.803  0.31
N 0.972 0.944 0.197  0.31
Ba 0.894 0.788 0.670  0.01
Ba 0.616 0.231 0.785  0.00
Ba 0.000 0.000 0.000  0.03
Ba 0.384 0.769 0.215  0.00
Ba 0.106 0.212 0.330  0.01

The value obtained for the total energy is -4.070 eV/atom. As for the total magnetization: 1.035 Bohr magnetons per cell. The energy relative to the elements, uncorrected comes out at -1.235 eV per atom.

=====

Here is BaI2N2 after structural relaxation from Alexandria. Energies are from PBE.

abc: 4.895 4.895 5.162
angles: 90.00 90.00 90.00
Site moments in Bohr magnetons follow the coordinates.
Positions (direct):
N 0.000 0.000 0.000  -0.17
N 0.000 0.000 0.500  1.04
I 0.500 0.000 0.000  0.03
I 0.000 0.500 0.000  0.03
Ba 0.500 0.500 0.500  -0.02

The value obtained for the total energy is -3.432 eV/atom. As for the total magnetization: 1.360 Bohr magnetons per cell. The energy relative to the elements, uncorrected comes out at 0.903 eV per atom.

=====

Here is Ba8IN4 after structural relaxation from Alexandria. Energies are from PBE.

abc: 3.930 11.604 12.029
angles: 88.03 80.60 80.25
Positions (direct):
Ba 0.860 0.965 0.315
Ba 0.862 0.739 0.536
Ba 0.181 0.056 0.583
Ba 0.584 0.610 0.221
Ba 0.437 0.419 0.707
Ba 0.167 0.289 0.378
Ba 0.218 0.651 0.912
Ba 0.803 0.378 0.017
N 0.698 0.153 0.451
N 0.834 0.501 0.831
N 0.190 0.520 0.100
N 0.340 0.868 0.452
I 0.530 0.874 0.067

The value obtained for the total energy is -4.373 eV/atom. As for the total magnetization: 0.178 Bohr magnetons per cell. The energy relative to the elements, uncorrected comes out at -0.509 eV per atom.